1.
DFT (PBE) results for a relaxed structure of Pu3US4.

Unit cell a=3.886 b=6.833 c=6.798 alpha=71.04 beta=90.00 gamma=90.00
Each line ends with the local moment (μB).
Positions (direct):
S1 0.500 0.750 0.247  -0.03
S2 0.000 0.751 0.753  -0.07
S3 0.000 0.250 0.247  -0.07
S4 0.500 0.250 0.753  -0.03
U1 0.500 0.500 0.000  2.14
Pu1 0.000 0.500 0.500  -5.19
Pu2 0.000 0.000 0.000  5.17
Pu3 0.500 0.000 0.500  5.19

Properties
* formation energy without anion corrections: -1640 meV per atom
* E above lowest polymorph: 0.010 eV/atom
* E: -10.49 eV/atom
* SG: P2/m



2.
DFT (PBE) results for a relaxed structure of PuU2S4.

Unit cell a=7.102 b=7.102 c=7.102 alpha=109.52 beta=109.38 gamma=109.52
Each line ends with the local moment (μB).
Positions (direct):
S1 0.623 0.751 0.029  -0.02
S2 0.128 0.406 0.377  -0.02
S3 0.971 0.594 0.723  -0.02
S4 0.473 0.094 0.221  -0.02
S5 0.779 0.251 0.873  -0.02
S6 0.277 0.249 0.872  -0.02
S7 0.127 0.906 0.378  -0.02
S8 0.622 0.749 0.527  -0.02
U1 0.251 0.626 0.125  2.11
U2 0.375 0.874 0.749  2.11
U3 0.875 0.126 0.501  2.11
U4 0.499 0.374 0.625  2.11
Pu1 0.750 0.500 0.250  -5.13
Pu2 0.000 0.000 0.000  -5.13

Properties
* formation energy without anion corrections: -1506 meV per atom
* E above lowest polymorph: 0.000 eV/atom
* E: -9.14 eV/atom
* SG: I-42d



3.
DFT (PBE) results for a relaxed structure of Pu2US6.

Unit cell a=3.958 b=7.243 c=7.243 alpha=120.00 beta=90.00 gamma=90.00
Each line ends with the local moment (μB).
Positions (direct):
S1 0.000 0.253 0.253  -0.15
S2 0.500 0.403 0.000  -0.17
S3 0.000 0.000 0.747  -0.15
S4 0.000 0.747 0.000  -0.15
S5 0.500 0.000 0.403  -0.17
S6 0.500 0.597 0.597  -0.17
Pu1 0.000 0.333 0.667  4.83
Pu2 0.000 0.667 0.333  4.83
U1 0.500 0.000 0.000  1.24

Properties
* formation energy without anion corrections: -1417 meV per atom
* E above lowest polymorph: 0.039 eV/atom
* E: -8.61 eV/atom
* SG: P-62m



4.
DFT (PBE) results for a relaxed structure of PuUS4.

Unit cell a=4.543 b=4.543 c=6.449 alpha=90.05 beta=90.05 gamma=90.00
Each line ends with the local moment (μB).
Positions (direct):
S1 0.500 0.000 0.744  -0.13
S2 0.000 0.500 0.744  -0.13
S3 0.000 0.500 0.256  -0.13
S4 0.500 0.000 0.256  -0.13
U1 0.500 0.500 0.500  1.64
Pu1 0.000 0.000 0.000  4.82

Properties
* formation energy without anion corrections: -1453 meV per atom
* E above lowest polymorph: 0.000 eV/atom
* E: -8.47 eV/atom
* SG: P4/mmm



5.
DFT (PBE) results for a relaxed structure of PuU2S3.

Unit cell a=3.696 b=5.469 c=7.343 alpha=111.87 beta=90.00 gamma=90.00
Each line ends with the local moment (μB).
Positions (direct):
S1 0.500 0.848 0.695  -0.09
S2 0.000 0.500 0.000  -0.08
S3 0.500 0.152 0.305  -0.09
U1 0.500 0.647 0.294  2.60
U2 0.500 0.353 0.706  2.60
Pu1 0.000 0.000 0.000  5.25

Properties
* formation energy without anion corrections: -1220 meV per atom
* E above lowest polymorph: 0.264 eV/atom
* E: -9.44 eV/atom
* SG: Cmmm



6.
DFT (PBE) results for a relaxed structure of PuUS.

Unit cell a=3.585 b=5.648 c=12.186 alpha=90.00 beta=90.00 gamma=90.00
Each line ends with the local moment (μB).
Positions (direct):
U1 0.750 0.217 0.553  -0.58
U2 0.250 0.783 0.447  -0.58
U3 0.250 0.717 0.947  -0.58
U4 0.750 0.283 0.053  -0.58
S1 0.750 0.436 0.353  -0.04
S2 0.250 0.564 0.647  -0.04
S3 0.750 0.064 0.853  -0.04
S4 0.250 0.936 0.147  -0.04
Pu1 0.250 0.423 0.180  3.81
Pu2 0.250 0.077 0.680  3.81
Pu3 0.750 0.923 0.320  3.81
Pu4 0.750 0.577 0.820  3.81

Properties
* formation energy without anion corrections: -640 meV per atom
* E above lowest polymorph: 0.419 eV/atom
* E: -10.56 eV/atom
* SG: Pnma



7.
DFT (PBE) results for a relaxed structure of PuUS4.

Unit cell a=4.031 b=6.369 c=6.990 alpha=90.39 beta=90.00 gamma=90.00
Each line ends with the local moment (μB).
Positions (direct):
S1 0.000 0.210 0.323  -0.12
S2 0.500 0.212 0.845  -0.09
S3 0.500 0.788 0.155  -0.09
S4 0.000 0.790 0.677  -0.12
Pu1 0.500 0.000 0.500  4.85
U1 0.000 0.000 0.000  1.49

Properties
* formation energy without anion corrections: -1409 meV per atom
* E above lowest polymorph: 0.044 eV/atom
* E: -8.43 eV/atom
* SG: P2/m



8.
DFT (PBE) results for a relaxed structure of Pu2U2S7.

Unit cell a=3.891 b=8.402 c=8.402 alpha=61.31 beta=76.61 gamma=76.61
Each line ends with the local moment (μB).
Positions (direct):
Pu1 0.740 0.845 0.675  5.02
Pu2 0.260 0.325 0.155  5.02
U1 0.000 0.786 0.214  -1.38
U2 0.500 0.338 0.662  2.05
S1 0.868 0.410 0.854  -0.10
S2 0.183 0.702 0.932  -0.09
S3 0.500 0.010 0.990  -0.02
S4 0.607 0.505 0.281  -0.05
S5 0.132 0.146 0.590  -0.10
S6 0.817 0.068 0.298  -0.09
S7 0.393 0.719 0.495  -0.05

Properties
* formation energy without anion corrections: -1489 meV per atom
* E: -8.77 eV/atom
* SG: Imm2



9.
DFT (PBE) results for a relaxed structure of PuU2S4.

Unit cell a=3.797 b=6.722 c=12.976 alpha=90.00 beta=90.00 gamma=106.40
Each line ends with the local moment (μB).
Positions (direct):
S1 0.226 0.451 0.871  -0.02
S2 0.774 0.549 0.371  -0.02
S3 0.774 0.549 0.129  -0.02
S4 0.226 0.451 0.629  -0.02
S5 0.500 0.000 0.000  -0.06
S6 0.952 0.904 0.750  0.00
S7 0.048 0.096 0.250  0.00
S8 0.500 0.000 0.500  -0.06
U1 0.137 0.274 0.063  2.24
U2 0.863 0.726 0.563  2.24
U3 0.863 0.726 0.937  2.24
U4 0.137 0.274 0.437  2.24
Pu1 0.612 0.224 0.750  -5.28
Pu2 0.388 0.776 0.250  -5.28

Properties
* formation energy without anion corrections: -1434 meV per atom
* E above lowest polymorph: 0.072 eV/atom
* E: -9.07 eV/atom
* SG: Cmcm



10.
DFT (PBE) results for a relaxed structure of PuU2S3.

Unit cell a=5.497 b=7.831 c=11.571 alpha=90.00 beta=90.00 gamma=89.89
Each line ends with the local moment (μB).
Positions (direct):
U1 0.751 0.123 0.583  2.10
U2 0.749 0.625 0.250  2.13
U3 0.749 0.125 0.250  2.13
U4 0.249 0.377 0.083  2.10
U5 0.751 0.623 0.917  2.10
U6 0.249 0.877 0.417  2.10
U7 0.251 0.875 0.750  2.13
U8 0.251 0.375 0.750  2.13
S1 0.749 0.874 0.083  -0.10
S2 0.249 0.626 0.251  -0.08
S3 0.251 0.126 0.917  -0.10
S4 0.251 0.626 0.583  -0.10
S5 0.751 0.374 0.749  -0.08
S6 0.749 0.874 0.417  -0.07
S7 0.751 0.874 0.751  -0.08
S8 0.251 0.626 0.917  -0.07
S9 0.251 0.126 0.583  -0.07
S10 0.749 0.374 0.083  -0.07
S11 0.249 0.126 0.249  -0.08
S12 0.749 0.374 0.417  -0.10
Pu1 0.250 0.874 0.083  5.16
Pu2 0.750 0.126 0.917  5.16
Pu3 0.750 0.626 0.583  5.16
Pu4 0.250 0.374 0.417  5.16

Properties
* formation energy without anion corrections: -1484 meV per atom
* E above lowest polymorph: 0.000 eV/atom
* E: -9.70 eV/atom
* SG: P2_1/c



11.
DFT (PBE) results for a relaxed structure of Pu3US4.

Unit cell a=5.569 b=5.569 c=5.569 alpha=90.00 beta=90.00 gamma=90.00
Each line ends with the local moment (μB).
Positions (direct):
S1 0.500 0.500 0.500  -0.13
S2 0.000 0.500 0.000  -0.11
S3 0.000 0.000 0.500  -0.11
S4 0.500 0.000 0.000  -0.11
Pu1 0.000 0.500 0.500  5.34
Pu2 0.500 0.000 0.500  5.34
Pu3 0.500 0.500 0.000  5.34
U1 0.000 0.000 0.000  2.55

Properties
* formation energy without anion corrections: -1650 meV per atom
* E above lowest polymorph: 0.000 eV/atom
* E: -10.50 eV/atom
* SG: Pm-3m



12.
DFT (PBE) results for a relaxed structure of PuU3S6.

Unit cell a=3.897 b=10.912 c=11.261 alpha=107.53 beta=90.00 gamma=90.00
Each line ends with the local moment (μB).
Positions (direct):
U1 0.750 0.153 0.078  2.24
U2 0.750 0.432 0.833  2.41
U3 0.750 0.684 0.498  2.26
U4 0.250 0.847 0.922  2.24
U5 0.250 0.316 0.502  2.26
U6 0.250 0.568 0.167  2.41
S1 0.250 0.196 0.249  -0.04
S2 0.750 0.741 0.273  -0.03
S3 0.250 0.604 0.938  -0.08
S4 0.250 0.259 0.727  -0.03
S5 0.750 0.804 0.751  -0.04
S6 0.250 0.878 0.540  0.03
S7 0.250 0.085 0.898  -0.03
S8 0.250 0.512 0.383  -0.07
S9 0.750 0.488 0.617  -0.07
S10 0.750 0.915 0.102  -0.03
S11 0.750 0.122 0.460  0.03
S12 0.750 0.396 0.062  -0.08
Pu1 0.750 0.048 0.688  -5.22
Pu2 0.250 0.952 0.312  -5.22

Properties
* formation energy without anion corrections: -1443 meV per atom
* E: -8.74 eV/atom
* SG: P2_1/m



Look up the E of the seventh one. -8.43 eV/atom



Which value of E does entry 4 give? -8.47 eV/atom



Among the records above, which one has the lowest E? PuUS



Which of these has the highest formation energy without anion corrections? PuUS